(1)
Computed, not measured: a geometry-optimized AcAlAs2 structure at the PBE level of DFT.

Structure (extended XYZ):
```
4
Lattice="-3.2293 -2.7026 0.2860 0.6191 -4.1121 -0.7224 0.4601 -3.1882 6.2125" Properties=species:S:1:pos:R:3 pbc="T T T"
Ac -1.0751 -5.0014 2.8881
As -0.6065 -2.4532 1.1144
As -1.5436 -7.5496 4.6617
Al 0.0000 0.0000 0.0000
```

**Raw total energy**: -4.975 eV per atom
**Theoretical density**: 6626 kg/m³
**D(E_F)**: 0.339 states/eV/cell
**Polymorph energy (0 for the lowest one)**: 0.0 kJ/mol of atoms
**ΔE_f**: -0.69 eV/atom


(2)
Computed, not measured: a geometry-optimized AcAlAs3 structure at the PBE level of DFT.

Structure (extended XYZ):
```
5
Lattice="-4.3816 2.1488 -0.8401 -0.2439 -2.2245 -4.4174 -2.2942 -3.8673 2.0741" Properties=species:S:1:pos:R:3 pbc="T T T"
Ac -3.4598 -1.9715 -1.5917
As -0.1220 -1.1122 -2.2087
As -1.1471 -1.9336 1.0370
As -2.1908 1.0744 -0.4201
Al 0.0000 0.0000 0.0000
```

**Raw total energy**: -4.758 eV per atom
**Theoretical density**: 6547 kg/m³
**D(E_F)**: 3.551 states/eV/cell
**ΔE_f**: -0.40 eV/atom


(3)
Computed, not measured: a geometry-optimized AcAl2As structure at the PBE level of DFT.

Structure (extended XYZ):
```
4
Lattice="-2.7988 1.0679 3.9048 -2.9711 -3.0582 -1.2932 2.1458 -3.0927 2.3839" Properties=species:S:1:pos:R:3 pbc="T T T"
Ac -1.8120 -2.5415 2.4977
As -1.3994 0.5340 1.9524
Al 1.0729 -1.5464 1.1919
Al -1.4856 -1.5291 -0.6466
```

**Raw total energy**: -4.405 eV per atom
**Theoretical density**: 6048 kg/m³
**D(E_F)**: 1.719 states/eV/cell
**ΔE_f**: -0.34 eV/atom


(4)
Computed, not measured: a geometry-optimized AcAlAs2 structure at the PBE level of DFT.

Structure (extended XYZ):
```
4
Lattice="-0.3322 1.1146 -3.9377 -3.7579 -3.0143 -0.5362 -3.0364 3.5606 1.2640" Properties=species:S:1:pos:R:3 pbc="T T T"
Ac -0.1661 0.5573 -1.9688
As -1.5182 1.7803 0.6320
As -1.8790 -1.5071 -0.2681
Al -3.5632 0.8305 -1.6049
```

**Raw total energy**: -4.806 eV per atom
**Theoretical density**: 6951 kg/m³
**D(E_F)**: 1.486 states/eV/cell
**Polymorph energy (0 for the lowest one)**: 16.3 kJ/mol of atoms
**ΔE_f**: -0.52 eV/atom


(5)
Computed, not measured: a geometry-optimized Ac2AlAs structure at the PBE level of DFT.

Structure (extended XYZ):
```
4
Lattice="-0.6796 -1.7743 -3.7241 -0.5049 -4.1406 -0.2818 -10.8132 -0.7923 0.0040" Properties=species:S:1:pos:R:3 pbc="T T T"
Ac -7.4848 -1.1690 -0.4239
Ac -4.5129 -5.5381 -3.5780
As -5.9989 -3.3536 -2.0009
Al 0.0000 0.0000 0.0000
```

**Raw total energy**: -4.378 eV per atom
**Theoretical density**: 5769 kg/m³
**D(E_F)**: 3.997 states/eV/cell
**Polymorph energy (0 for the lowest one)**: 40.3 kJ/mol of atoms
**ΔE_f**: -0.23 eV/atom


(6)
Computed, not measured: a geometry-optimized Ac2AlAs structure at the PBE level of DFT.

Structure (extended XYZ):
```
4
Lattice="5.5611 0.0000 0.0000 2.7806 4.8161 0.0000 2.7806 1.6054 4.5406" Properties=species:S:1:pos:R:3 pbc="T T T"
Ac 2.7806 1.6054 1.1352
Ac 8.3417 4.8161 3.4055
As 5.5611 3.2107 2.2703
Al 0.0000 0.0000 0.0000
```

**Raw total energy**: -4.640 eV per atom
**Theoretical density**: 7591 kg/m³
**D(E_F)**: 4.446 states/eV/cell
**Polymorph energy (0 for the lowest one)**: 15.1 kJ/mol of atoms
**ΔE_f**: -0.49 eV/atom


(7)
Computed, not measured: a geometry-optimized Ac2AlAs3 structure at the PBE level of DFT.

Structure (extended XYZ):
```
24
Lattice="6.7242 0.0000 0.5085 3.3621 6.8276 0.2543 0.0258 0.0000 14.9849" Properties=species:S:1:pos:R:3 pbc="T T T"
Ac 5.1819 2.8512 5.5024
Ac 1.5552 2.8512 2.4986
Ac 4.9303 3.9764 10.2453
Ac 8.5569 3.9764 13.2491
Ac 5.0149 5.4650 1.4600
Ac 8.4464 5.4650 7.0495
Ac 5.0972 1.3626 14.2877
Ac 1.6657 1.3626 8.6982
Al 4.8773 0.0458 2.7013
Al 1.8598 0.0458 5.2996
Al 5.2348 6.7819 13.0463
Al 8.2524 6.7819 10.4480
As 6.7307 5.4358 4.2547
As 3.3815 1.3918 11.4929
As 4.6938 2.4976 2.3099
As 2.0433 2.4976 5.6911
As 5.4183 4.3300 13.4378
As 8.0688 4.3300 10.0566
As 5.1382 1.4239 8.2499
As 1.6248 1.4239 14.7359
As 4.9739 5.4037 7.4977
As 8.4874 5.4037 1.0117
As 6.7307 0.2112 4.2547
As 3.3815 6.6165 11.4929
```

**Raw total energy**: -5.401 eV per atom
**Theoretical density**: 6815 kg/m³
**ΔE_f**: -1.08 eV/atom


(8)
Computed, not measured: a geometry-optimized AcAl2As structure at the PBE level of DFT.

Structure (extended XYZ):
```
4
Lattice="-0.9073 -0.4954 3.5505 3.1148 -1.9220 0.5278 3.3394 5.8713 1.6727" Properties=species:S:1:pos:R:3 pbc="T T T"
Ac 2.7734 1.7269 2.8755
As 1.1037 -1.2087 2.0391
Al 2.7208 4.7837 1.3628
Al 0.6186 1.0876 0.3098
```

**Raw total energy**: -4.275 eV per atom
**Theoretical density**: 6210 kg/m³
**D(E_F)**: 3.135 states/eV/cell
**ΔE_f**: -0.21 eV/atom


Number 1: calculated volume 25.30 Å³/atom. Number 2: calculated volume 24.28 Å³/atom. Number 3: calculated volume 24.43 Å³/atom. Number 4: calculated volume 24.12 Å³/atom. Number 5: calculated volume 40.00 Å³/atom. Number 6: calculated volume 30.40 Å³/atom. Number 7: calculated volume 28.66 Å³/atom. Number 8: calculated volume 23.79 Å³/atom.